VASP calculation (PBE) on a relaxed YNiW2 crystal.

Its symmetry is No. 8. The calculated volume is 71 Å³/cell. The energy relative to the lowest polymorph listed for this composition is 237 meV/atom. The calculation puts the energy of formation from the pure elements at 455 meV per atom.

a b c (Å): 5.057 5.057 5.598
angles (deg): 71.48 71.48 31.73
Fractional positions:
Ni: 0.293 0.293 0.345
Y: 0.541 0.541 0.418
W: 0.722 0.722 0.782
W: 0.944 0.944 0.956